(1)
! Mn2AsSe (PBE, optimized geometry); values from VASP
! density of states at the Fermi level: 3.103 states/eV/cell
! calculated density: 5.9 Mg/m³
! DFT total energy: -6.53 eV per atom
&SYSTEM
  ibrav = 0, nat = 4, ntyp = 3
/
ATOMIC_SPECIES
Mn 54.94 Mn.upf
As 74.92 As.upf
Se 78.96 Se.upf
CELL_PARAMETERS angstrom
9.5959 -0.0870 -0.0510
9.1524 2.8847 -0.0510
9.1524 1.3657 2.5414
ATOMIC_POSITIONS angstrom
Mn 27.6522 4.1263 2.4177
Mn 7.1157 1.0618 0.6221
As 20.1543 3.0075 1.7621
Se 14.8296 2.2129 1.2966

(2)
! Ba2IBrO (PBE, optimized geometry); values from VASP
! density of states at the Fermi level: 0.000 states/eV/cell
! calculated density: 4.4 Mg/m³
! DFT total energy: -4.62 eV per atom
&SYSTEM
  ibrav = 0, nat = 10, ntyp = 4
/
ATOMIC_SPECIES
O 16.00 O.upf
Ba 137.33 Ba.upf
Br 79.90 Br.upf
I 126.90 I.upf
CELL_PARAMETERS angstrom
-0.6828 3.6373 -2.5688
-4.8639 -3.3466 -7.3962
-9.0116 2.5031 1.9893
ATOMIC_POSITIONS angstrom
O -6.7208 0.8007 -8.9307
O -7.8376 1.9930 0.9550
Ba -12.4981 0.1621 -4.3490
Ba -2.0603 2.6316 -3.6267
Ba -7.3068 -0.5413 -6.7249
Ba -7.2516 3.3350 -1.2508
Br -4.5368 0.6861 -5.7232
Br -10.0216 2.1076 -2.2525
I -10.0508 1.8873 -6.5069
I -4.5075 0.9064 -1.4688

(3)
! LiTh2P3Pt12 (PBE, optimized geometry); values from VASP
! density of states at the Fermi level: 8.395 states/eV/cell
! calculated density: 13.9 Mg/m³
! energy relative to the elements: -0.54 eV/atom
&SYSTEM
  ibrav = 0, nat = 18, ntyp = 4
/
ATOMIC_SPECIES
Pt 195.08 Pt.upf
Li 6.94 Li.upf
P 30.97 P.upf
Th 232.04 Th.upf
CELL_PARAMETERS angstrom
7.6151 -0.3003 -0.2130
3.4996 6.7699 -0.2130
3.4996 2.0371 6.4597
ATOMIC_POSITIONS angstrom
Pt 10.9967 6.4010 2.0056
Pt 7.6035 4.4259 0.4090
Pt 9.2514 2.8083 1.9919
Pt 8.9167 7.5823 5.3781
Pt 7.0108 6.6576 1.9919
Pt 3.6176 2.1057 4.0282
Pt 7.6035 1.8491 4.0418
Pt 5.3629 5.6984 4.0418
Pt 3.6176 4.4978 0.6557
Pt 7.0108 4.0808 5.6248
Pt 5.6976 0.9244 0.6557
Pt 10.9967 4.0089 5.3781
Li 0.0000 0.0000 0.0000
P 1.7498 1.0185 3.2299
P 1.7498 3.3850 -0.1065
P 3.8075 -0.1501 -0.1065
Th 9.0441 5.2644 3.7340
Th 5.5702 3.2423 2.2997

(4)
! TlH3Cl (PBE, optimized geometry); values from VASP
! density of states at the Fermi level: 1.743 states/eV/cell
! calculated density: 6.1 Mg/m³
! E above lowest polymorph: 581.9 kJ/mol of formula units
&SYSTEM
  ibrav = 0, nat = 5, ntyp = 3
/
ATOMIC_SPECIES
Cl 35.45 Cl.upf
H 1.01 H.upf
Tl 204.38 Tl.upf
CELL_PARAMETERS angstrom
4.0341 0.0000 0.0000
0.0000 4.0341 0.0000
0.0000 0.0000 4.0341
ATOMIC_POSITIONS angstrom
Cl 0.0000 0.0000 0.0000
H 0.0000 0.0000 2.0171
H 2.0171 0.0000 0.0000
H 0.0000 2.0171 0.0000
Tl 2.0171 2.0171 2.0171

(5)
! LaCdFe3 (PBE, optimized geometry); values from VASP
! density of states at the Fermi level: 5.691 states/eV/cell
! calculated density: 6.8 Mg/m³
! E above lowest polymorph: 228.0 kJ/mol of formula units
! energy relative to the elements: 1.52 eV/atom
&SYSTEM
  ibrav = 0, nat = 5, ntyp = 3
/
ATOMIC_SPECIES
La 138.91 La.upf
Fe 55.84 Fe.upf
Cd 112.41 Cd.upf
CELL_PARAMETERS angstrom
4.6708 0.0000 0.0000
0.0000 4.6708 0.0000
0.0000 0.0000 4.6708
ATOMIC_POSITIONS angstrom
La 0.0000 0.0000 0.0000
Fe 2.3354 0.0000 0.0000
Fe 0.0000 0.0000 2.3354
Fe 0.0000 2.3354 0.0000
Cd 2.3354 2.3354 2.3354

(6)
! Y3Pt5 (PBE, optimized geometry); values from VASP
! density of states at the Fermi level: 8.206 states/eV/cell
! calculated density: 12.4 Mg/m³
! E above lowest polymorph: 208.4 kJ/mol of formula units
! energy relative to the elements: -0.89 eV/atom
&SYSTEM
  ibrav = 0, nat = 16, ntyp = 2
/
ATOMIC_SPECIES
Y 88.91 Y.upf
Pt 195.08 Pt.upf
CELL_PARAMETERS angstrom
8.5893 0.0002 0.0000
4.2948 7.4383 0.0000
0.0000 0.0000 5.2062
ATOMIC_POSITIONS angstrom
Y 5.9065 4.6469 1.3015
Y 9.6608 7.4384 1.3015
Y 3.2234 0.0001 3.9046
Y 2.6831 4.6469 3.9046
Y 1.6118 2.7914 1.3015
Y 6.9776 2.7916 3.9046
Pt 4.2947 2.4795 2.6031
Pt 8.5894 4.9590 0.0000
Pt 4.2947 2.4795 0.0000
Pt 6.9259 0.0002 3.9046
Pt 3.4631 5.9977 1.3015
Pt 9.4210 1.4408 3.9046
Pt 5.9583 7.4383 1.3015
Pt 5.1266 5.9976 3.9046
Pt 7.7575 1.4409 1.3015
Pt 8.5894 4.9590 2.6031

(7)
! PrHfSe3 (PBE, optimized geometry); values from VASP
! density of states at the Fermi level: 11.542 states/eV/cell
! calculated density: 7.7 Mg/m³
! DFT total energy: -6.57 eV per atom
&SYSTEM
  ibrav = 0, nat = 20, ntyp = 3
/
ATOMIC_SPECIES
Se 78.96 Se.upf
Pr 140.91 Pr.upf
Hf 178.49 Hf.upf
CELL_PARAMETERS angstrom
3.9227 0.0000 0.0000
0.0000 8.6292 0.0000
0.0000 0.0000 14.2393
ATOMIC_POSITIONS angstrom
Se 2.9420 2.9797 0.1496
Se 0.9807 2.6103 11.2199
Se 2.9420 4.0586 8.8408
Se 2.9420 6.0189 3.0194
Se 0.9807 4.5706 5.3985
Se 0.9807 1.3349 7.2692
Se 2.9420 1.7043 4.1002
Se 0.9807 6.9249 10.1390
Se 2.9420 8.3732 12.5181
Se 0.9807 5.6495 14.0897
Se 2.9420 7.2944 6.9701
Se 0.9807 0.2560 1.7211
Pr 0.9807 7.9264 4.6871
Pr 2.9420 5.0175 11.8067
Pr 2.9420 0.7029 9.5522
Pr 0.9807 3.6117 2.4326
Hf 0.9807 1.3009 13.5534
Hf 2.9420 7.3283 0.6859
Hf 0.9807 5.6155 7.8055
Hf 2.9420 3.0137 6.4337

(8)
! RbLiTc2Pb (PBE, optimized geometry); values from VASP
! density of states at the Fermi level: 6.125 states/eV/cell
! calculated density: 5.4 Mg/m³
! energy relative to the elements: 1.45 eV/atom
&SYSTEM
  ibrav = 0, nat = 5, ntyp = 4
/
ATOMIC_SPECIES
Li 6.94 Li.upf
Pb 207.20 Pb.upf
Tc 98.00 Tc.upf
Rb 85.47 Rb.upf
CELL_PARAMETERS angstrom
5.3054 0.0000 0.0000
0.0000 5.3773 0.0000
0.0000 0.0000 5.3054
ATOMIC_POSITIONS angstrom
Li 0.0000 2.6886 0.0000
Pb 0.0000 0.0000 0.0000
Tc 2.6527 0.0000 0.0000
Tc 0.0000 0.0000 2.6527
Rb 2.6527 2.6886 2.6527

(9)
! CoSe2Br (PBE, optimized geometry); values from VASP
! density of states at the Fermi level: 0.002 states/eV/cell
! calculated density: 4.7 Mg/m³
! E above lowest polymorph: 16.5 kJ/mol of formula units
&SYSTEM
  ibrav = 0, nat = 8, ntyp = 3
/
ATOMIC_SPECIES
Br 79.90 Br.upf
Co 58.93 Co.upf
Se 78.96 Se.upf
CELL_PARAMETERS angstrom
6.1809 -0.4829 -0.1800
0.8098 7.2492 -0.4040
3.0631 -2.3316 4.6874
ATOMIC_POSITIONS angstrom
Br 7.1968 -0.6410 3.2450
Br 4.4056 4.2763 0.8628
Co 2.7048 2.5051 0.4216
Co 5.7817 2.2641 0.3311
Se 4.2912 1.7188 3.9081
Se 1.0152 1.0179 0.0570
Se 7.4209 2.6768 1.8598
Se 4.1711 1.0050 1.5853

(10)
! Th6HgP2S3 (PBE, optimized geometry); values from VASP
! density of states at the Fermi level: 7.602 states/eV/cell
! calculated density: 9.6 Mg/m³
! DFT total energy: -7.09 eV per atom
&SYSTEM
  ibrav = 0, nat = 12, ntyp = 4
/
ATOMIC_SPECIES
Th 232.04 Th.upf
P 30.97 P.upf
S 32.06 S.upf
Hg 200.59 Hg.upf
CELL_PARAMETERS angstrom
4.1190 0.0000 0.0000
0.0000 8.3533 0.4290
-2.0595 -2.2731 8.7076
ATOMIC_POSITIONS angstrom
Th 0.0000 1.9922 5.9903
Th 0.0000 6.1237 6.0598
Th 2.0595 -0.0435 3.0768
Th 2.0595 3.8236 8.9622
Th 0.0000 2.2566 0.1744
Th 2.0595 4.0880 3.1462
P 2.0595 4.0594 6.0474
P 0.0000 2.0209 3.0892
S 0.0000 6.2007 3.1863
S 2.0595 4.1767 0.2145
S 2.0595 -0.1204 5.9503
Hg 2.0595 0.0000 0.0000

(11)
! KEu2Ag (PBE, optimized geometry); values from VASP
! density of states at the Fermi level: 21.673 states/eV/cell
! calculated density: 4.6 Mg/m³
! E above lowest polymorph: 0.0 kJ/mol of formula units
! energy relative to the elements: -0.06 eV/atom
&SYSTEM
  ibrav = 0, nat = 4, ntyp = 3
/
ATOMIC_SPECIES
Ag 107.87 Ag.upf
K 39.10 K.upf
Eu 151.96 Eu.upf
CELL_PARAMETERS angstrom
3.8941 0.0000 0.0000
0.0000 3.8941 0.0000
0.0000 0.0000 10.7729
ATOMIC_POSITIONS angstrom
Ag 1.9470 1.9470 0.0000
K 1.9470 1.9470 5.3864
Eu 0.0000 0.0000 8.9521
Eu 0.0000 0.0000 1.8207

(12)
! Rb3Pa3CoTe8 (PBE, optimized geometry); values from VASP
! density of states at the Fermi level: 22.437 states/eV/cell
! calculated density: 5.8 Mg/m³
! DFT total energy: -4.99 eV per atom
&SYSTEM
  ibrav = 0, nat = 15, ntyp = 4
/
ATOMIC_SPECIES
Te 127.60 Te.upf
Pa 231.04 Pa.upf
Rb 85.47 Rb.upf
Co 58.93 Co.upf
CELL_PARAMETERS angstrom
8.6769 0.0011 -0.0019
-4.3375 7.5080 -0.0294
-0.0014 -4.9670 8.9302
ATOMIC_POSITIONS angstrom
Te -0.0003 -0.1227 6.1202
Te 2.2928 3.8527 6.1072
Te 4.3382 2.6648 2.7787
Te -2.2885 3.8499 6.1096
Te 6.6265 -1.3078 2.7893
Te 4.3395 0.0274 6.3033
Te 2.0452 -1.3106 2.7917
Te -0.0015 2.5147 2.5956
Pa -2.1695 1.2705 4.4504
Pa 2.1690 1.2710 4.4494
Pa 4.3377 -2.4830 4.4642
Rb 2.1697 3.7545 -0.0157
Rb 0.0000 0.0000 0.0000
Rb -2.1687 3.7540 -0.0147
Co -0.0007 -2.4835 4.4651